A geometry-optimized TbGdNiAg structure, computed with PBE.

Unit cell a=7.089 b=7.089 c=7.089 alpha=90.00 beta=90.00 gamma=90.00
Space group F-43m (No. 216)
One atom of each set of equivalent atoms:
Tb  0.000  0.000  0.000 x4
Gd  0.000  0.000  0.500 x4
Ni  0.250  0.250  0.250 x4
Ag  0.250  0.250  0.750 x4

- Uncorrected energy: -7.1205 eV/atom
- Total magnetic moment: 28.55 μB per cell